# 1
The following is a PBE calculation of crystalline LaAs2Pd2 at its relaxed geometry, from the Alexandria database.

Structure (POSCAR):
```
LaAs2Pd2
1.0
4.669 0.000 0.000
0.000 4.669 0.000
2.334 2.334 4.727
As Pd La
2 2 1
direct
0.750 0.250 0.500 As
0.250 0.750 0.500 As
0.356 0.356 0.289 Pd
0.644 0.644 0.711 Pd
0.000 0.000 0.000 La
```

Calculated values
The value obtained for the formation energy is -0.82 eV/atom. The symmetry is I4/mmm (139). The total magnetic moment comes out at 0.00 μB/f.u.

# 2
The following is a PBE calculation of crystalline La2AsPd6 at its relaxed geometry, from the Alexandria database.

Structure (POSCAR):
```
La2AsPd6
1.0
5.783 0.000 0.000
-2.891 4.879 1.094
0.000 0.083 6.221
La As Pd
2 1 6
direct
0.638 0.275 0.172 La
0.362 0.725 0.828 La
0.000 0.000 0.000 As
0.880 0.274 0.686 Pd
0.877 0.755 0.691 Pd
0.394 0.274 0.686 Pd
0.120 0.726 0.314 Pd
0.123 0.245 0.309 Pd
0.606 0.726 0.314 Pd
```

Calculated values
The value obtained for the formation energy is -0.79 eV/atom. The symmetry is C2/m (12). The total magnetic moment comes out at 0.00 μB/f.u.

# 3
The following is a PBE calculation of crystalline La2As3Pd5 at its relaxed geometry, from the Alexandria database.

Structure (POSCAR):
```
La2As3Pd5
1.0
4.419 0.000 -0.753
0.000 7.143 0.000
-0.171 0.000 12.341
La As Pd
4 6 10
direct
0.479 0.766 0.959 La
0.174 0.750 0.348 La
0.826 0.250 0.652 La
0.521 0.266 0.041 La
0.776 0.684 0.552 As
0.607 0.581 0.213 As
0.051 0.964 0.101 As
0.224 0.184 0.448 As
0.949 0.464 0.899 As
0.393 0.081 0.787 As
0.392 0.464 0.784 Pd
0.271 0.494 0.542 Pd
0.729 0.994 0.458 Pd
0.123 0.226 0.246 Pd
0.309 0.868 0.618 Pd
0.946 0.067 0.891 Pd
0.691 0.368 0.382 Pd
0.877 0.726 0.754 Pd
0.054 0.567 0.109 Pd
0.608 0.964 0.216 Pd
```

Calculated values
The value obtained for the formation energy is -0.85 eV/atom. The symmetry is Cmc2_1 (36). The total magnetic moment comes out at 0.00 μB/f.u.

# 4
The following is a PBE calculation of crystalline LaAs2Pd2 at its relaxed geometry, from the Alexandria database.

Structure (POSCAR):
```
LaAs2Pd2
1.0
-2.715 -1.581 7.199
7.310 -1.564 2.413
0.381 3.026 0.808
As Pd La
4 4 2
direct
0.354 0.854 0.000 As
0.854 0.646 0.000 As
0.646 0.146 0.000 As
0.146 0.354 0.000 As
0.146 0.646 0.500 Pd
0.646 0.854 0.500 Pd
0.854 0.354 0.500 Pd
0.354 0.146 0.500 Pd
0.000 0.000 0.000 La
0.500 0.500 0.000 La
```

Calculated values
The value obtained for the formation energy is -0.52 eV/atom. The symmetry is P4/mbm (127). The total magnetic moment comes out at 0.00 μB/f.u.

# 5
The following is a PBE calculation of crystalline LaAs2Pd4 at its relaxed geometry, from the Alexandria database.

Structure (POSCAR):
```
LaAs2Pd4
1.0
4.101 0.000 0.000
0.000 7.878 0.000
0.000 0.000 7.878
As Pd La
4 8 2
direct
0.000 0.219 0.781 As
0.000 0.781 0.219 As
0.500 0.719 0.719 As
0.500 0.281 0.281 As
0.000 0.092 0.344 Pd
0.000 0.908 0.656 Pd
0.500 0.156 0.592 Pd
0.500 0.844 0.408 Pd
0.500 0.408 0.844 Pd
0.500 0.592 0.156 Pd
0.000 0.344 0.092 Pd
0.000 0.656 0.908 Pd
0.500 0.000 0.000 La
0.000 0.500 0.500 La
```

Calculated values
The value obtained for the formation energy is -0.78 eV/atom. The symmetry is P4_2/mnm (136). For the energy above the most stable polymorph in this dataset, the calculation gives 0.000 eV/atom. The total magnetic moment comes out at 0.00 μB/f.u.

# 6
The following is a PBE calculation of crystalline La2AsPd at its relaxed geometry, from the Alexandria database.

Structure (POSCAR):
```
La2AsPd
1.0
4.237 -0.001 -0.001
2.118 3.669 -0.001
2.117 1.222 7.452
La As Pd
2 1 1
direct
0.081 0.081 0.756 La
0.253 0.253 0.242 La
0.666 0.666 0.002 As
0.500 0.500 0.500 Pd
```

Calculated values
The value obtained for the formation energy is -1.03 eV/atom. The symmetry is R3m (160). The total magnetic moment comes out at 0.00 μB/f.u.

# 7
The following is a PBE calculation of crystalline LaAs2Pd6 at its relaxed geometry, from the Alexandria database.

Structure (POSCAR):
```
LaAs2Pd6
1.0
-2.841 0.214 -3.209
1.079 -3.970 -1.220
-6.158 -3.282 5.233
La As Pd
1 2 6
direct
0.000 0.000 0.000 La
0.500 0.500 0.147 As
0.500 0.500 0.853 As
0.000 0.500 0.290 Pd
0.500 0.000 0.290 Pd
0.000 0.500 0.710 Pd
0.500 0.000 0.710 Pd
0.500 0.500 0.500 Pd
0.000 0.000 0.500 Pd
```

Calculated values
The value obtained for the formation energy is -0.54 eV/atom. The symmetry is P4/mmm (123). For the energy above the most stable polymorph in this dataset, the calculation gives 0.000 eV/atom. The total magnetic moment comes out at 0.00 μB/f.u.

# 8
The following is a PBE calculation of crystalline LaAs2Pd4 at its relaxed geometry, from the Alexandria database.

Structure (POSCAR):
```
LaAs2Pd4
1.0
-0.066 -2.564 3.621
-2.779 -2.739 -1.991
6.589 -2.160 -1.408
La As Pd
1 2 4
direct
0.000 0.000 0.000 La
0.500 0.596 0.192 As
0.500 0.404 0.808 As
0.500 0.819 0.637 Pd
0.000 0.679 0.359 Pd
0.500 0.181 0.363 Pd
0.000 0.321 0.641 Pd
```

Calculated values
The value obtained for the formation energy is -0.72 eV/atom. The symmetry is Cmmm (65). For the energy above the most stable polymorph in this dataset, the calculation gives 0.066 eV/atom. The total magnetic moment comes out at 0.00 μB/f.u.

# 9
The following is a PBE calculation of crystalline La2As2Pd at its relaxed geometry, from the Alexandria database.

Structure (POSCAR):
```
La2As2Pd
1.0
5.911 0.000 0.000
0.000 5.911 0.000
2.956 2.956 4.276
As Pd La
2 1 2
direct
0.297 0.297 0.405 As
0.703 0.703 0.595 As
0.000 0.000 0.000 Pd
0.750 0.250 0.500 La
0.250 0.750 0.500 La
```

Calculated values
The value obtained for the formation energy is -0.86 eV/atom. The symmetry is I4/mmm (139). The total magnetic moment comes out at 0.00 μB/f.u.

# 10
The following is a PBE calculation of crystalline LaAs2Pd8 at its relaxed geometry, from the Alexandria database.

Structure (POSCAR):
```
LaAs2Pd8
1.0
-1.785 1.677 -5.035
-1.618 -5.231 -1.169
-6.717 1.439 2.860
La As Pd
1 2 8
direct
0.500 0.500 0.500 La
0.500 0.000 0.000 As
0.000 0.500 0.000 As
0.754 0.754 0.207 Pd
0.754 0.246 0.793 Pd
0.754 0.754 0.793 Pd
0.754 0.246 0.207 Pd
0.246 0.754 0.207 Pd
0.246 0.754 0.793 Pd
0.246 0.246 0.207 Pd
0.246 0.246 0.793 Pd
```

Calculated values
The value obtained for the formation energy is -0.23 eV/atom. The symmetry is P4/mmm (123). The total magnetic moment comes out at 0.00 μB/f.u.

# 11
The following is a PBE calculation of crystalline La3As2Pd7 at its relaxed geometry, from the Alexandria database.

Structure (POSCAR):
```
La3As2Pd7
1.0
-0.655 -4.140 -0.169
2.142 -0.192 -3.602
10.994 0.021 8.981
La As Pd
3 2 7
direct
0.329 0.329 0.659 La
0.671 0.671 0.341 La
0.500 0.500 0.000 La
0.130 0.130 0.260 As
0.870 0.870 0.740 As
0.000 0.000 0.000 Pd
0.922 0.422 0.844 Pd
0.422 0.922 0.844 Pd
0.078 0.578 0.156 Pd
0.578 0.078 0.156 Pd
0.224 0.224 0.449 Pd
0.776 0.776 0.551 Pd
```

Calculated values
The value obtained for the formation energy is -0.83 eV/atom. The symmetry is I4/mmm (139). The total magnetic moment comes out at 0.00 μB/f.u.

# 12
The following is a PBE calculation of crystalline La2As2Pd3 at its relaxed geometry, from the Alexandria database.

Structure (POSCAR):
```
La2As2Pd3
1.0
4.313 0.000 0.000
-2.157 5.278 0.016
0.000 -2.410 6.445
La As Pd
2 2 3
direct
0.868 0.735 0.237 La
0.132 0.265 0.763 La
0.843 0.685 0.765 As
0.157 0.315 0.235 As
0.500 0.000 0.000 Pd
0.616 0.232 0.429 Pd
0.384 0.768 0.571 Pd
```

Calculated values
The value obtained for the formation energy is -0.96 eV/atom. The symmetry is C2/m (12). The total magnetic moment comes out at 0.00 μB/f.u.

# 13
The following is a PBE calculation of crystalline LaAs2Pd2 at its relaxed geometry, from the Alexandria database.

Structure (POSCAR):
```
LaAs2Pd2
1.0
-0.129 1.946 7.494
6.969 -3.237 0.961
1.440 2.884 -0.724
As Pd La
4 4 2
direct
0.187 0.687 0.500 As
0.687 0.813 0.500 As
0.813 0.313 0.500 As
0.313 0.187 0.500 As
0.375 0.875 0.000 Pd
0.875 0.625 0.000 Pd
0.625 0.125 0.000 Pd
0.125 0.375 0.000 Pd
0.000 0.000 0.000 La
0.500 0.500 0.000 La
```

Calculated values
The value obtained for the formation energy is -0.56 eV/atom. The symmetry is P4/mbm (127). The total magnetic moment comes out at 0.00 μB/f.u.

# 14
The following is a PBE calculation of crystalline La2AsPd at its relaxed geometry, from the Alexandria database.

Structure (POSCAR):
```
La2AsPd
1.0
-3.845 0.753 1.989
-1.206 -3.937 -0.843
5.344 -1.747 10.992
La As Pd
4 2 2
direct
0.750 0.687 0.375 La
0.250 0.313 0.625 La
0.750 0.935 0.870 La
0.250 0.065 0.130 La
0.250 0.187 0.375 As
0.750 0.813 0.625 As
0.250 0.461 0.923 Pd
0.750 0.539 0.077 Pd
```

Calculated values
The value obtained for the formation energy is -1.15 eV/atom. The symmetry is Cmcm (63). The total magnetic moment comes out at 0.00 μB/f.u.

# 15
The following is a PBE calculation of crystalline LaAs2Pd3 at its relaxed geometry, from the Alexandria database.

Structure (POSCAR):
```
LaAs2Pd3
1.0
2.101 8.451 -0.008
-2.101 8.451 -0.008
0.000 3.163 9.616
La As Pd
3 6 9
direct
0.845 0.845 0.701 La
0.155 0.155 0.299 La
0.000 0.000 0.000 La
0.800 0.800 0.128 As
0.200 0.200 0.872 As
0.536 0.536 0.218 As
0.464 0.464 0.782 As
0.637 0.637 0.548 As
0.363 0.363 0.452 As
0.956 0.956 0.336 Pd
0.044 0.044 0.664 Pd
0.780 0.780 0.392 Pd
0.220 0.220 0.608 Pd
0.374 0.374 0.203 Pd
0.626 0.626 0.797 Pd
0.500 0.500 0.500 Pd
0.677 0.677 0.034 Pd
0.323 0.323 0.966 Pd
```

Calculated values
The value obtained for the formation energy is -0.86 eV/atom. The symmetry is C2/m (12). The total magnetic moment comes out at 0.00 μB/f.u.

# 16
The following is a PBE calculation of crystalline LaAsPd3 at its relaxed geometry, from the Alexandria database.

Structure (POSCAR):
```
LaAsPd3
1.0
-1.093 -3.027 3.521
4.144 -2.268 -0.663
2.095 2.907 3.149
As Pd La
1 3 1
direct
0.000 0.000 0.000 As
0.000 0.500 0.000 Pd
0.000 0.000 0.500 Pd
0.500 0.000 0.000 Pd
0.500 0.500 0.500 La
```

Calculated values
The value obtained for the formation energy is -0.61 eV/atom. The symmetry is Pm-3m (221). For the energy above the most stable polymorph in this dataset, the calculation gives 0.140 eV/atom. The total magnetic moment comes out at 0.00 μB/f.u.

# 17
The following is a PBE calculation of crystalline La2AsPd at its relaxed geometry, from the Alexandria database.

Structure (POSCAR):
```
La2AsPd
1.0
3.793 0.000 0.000
0.000 5.176 0.000
0.000 0.000 5.176
As Pd La
1 1 2
direct
0.500 0.500 0.500 As
0.500 0.000 0.000 Pd
0.000 0.000 0.500 La
0.000 0.500 0.000 La
```

Calculated values
The value obtained for the formation energy is -0.99 eV/atom. The symmetry is P4/mmm (123). The total magnetic moment comes out at 0.00 μB/f.u.

# 18
The following is a PBE calculation of crystalline LaAs2Pd5 at its relaxed geometry, from the Alexandria database.

Structure (POSCAR):
```
LaAs2Pd5
1.0
-0.149 4.183 -0.264
-5.918 1.979 1.378
-0.268 2.465 5.890
La As Pd
1 2 5
direct
0.000 0.000 0.000 La
0.749 0.751 0.751 As
0.251 0.249 0.249 As
0.000 0.500 0.500 Pd
0.650 0.543 0.158 Pd
0.350 0.457 0.842 Pd
0.350 0.842 0.457 Pd
0.650 0.158 0.543 Pd
```

Calculated values
The value obtained for the formation energy is -0.67 eV/atom. The symmetry is Immm (71). The total magnetic moment comes out at 0.00 μB/f.u.

# 19
The following is a PBE calculation of crystalline La2As4Pd3 at its relaxed geometry, from the Alexandria database.

Structure (POSCAR):
```
La2As4Pd3
1.0
5.985 0.000 0.000
0.000 7.811 0.000
-2.993 0.000 7.747
La As Pd
4 8 6
direct
0.116 0.579 0.232 La
0.884 0.421 0.768 La
0.384 0.079 0.768 La
0.616 0.921 0.232 La
0.701 0.750 0.902 As
0.799 0.250 0.098 As
0.299 0.250 0.098 As
0.201 0.750 0.902 As
0.184 0.963 0.368 As
0.816 0.037 0.632 As
0.316 0.463 0.632 As
0.684 0.537 0.368 As
0.000 0.000 0.000 Pd
0.500 0.500 0.000 Pd
0.534 0.750 0.568 Pd
0.966 0.250 0.432 Pd
0.466 0.250 0.432 Pd
0.034 0.750 0.568 Pd
```

Calculated values
The value obtained for the formation energy is -0.90 eV/atom. The symmetry is Cmce (64). The total magnetic moment comes out at 0.00 μB/f.u.

# 20
The following is a PBE calculation of crystalline LaAsPd3 at its relaxed geometry, from the Alexandria database.

Structure (POSCAR):
```
LaAsPd3
1.0
-4.506 -3.127 0.177
3.008 -4.685 -6.193
2.735 1.213 6.010
La As Pd
2 2 6
direct
0.250 0.277 0.500 La
0.750 0.723 0.500 La
0.000 0.500 0.000 As
0.500 0.000 0.000 As
0.763 0.263 0.025 Pd
0.263 0.263 0.025 Pd
0.737 0.737 0.975 Pd
0.237 0.737 0.975 Pd
0.250 0.902 0.500 Pd
0.750 0.098 0.500 Pd
```

Calculated values
The value obtained for the formation energy is -0.75 eV/atom. The symmetry is Imma (74). For the energy above the most stable polymorph in this dataset, the calculation gives 0.000 eV/atom. The total magnetic moment comes out at 0.00 μB/f.u.

# 21
The following is a PBE calculation of crystalline La2As7Pd12 at its relaxed geometry, from the Alexandria database.

Structure (POSCAR):
```
La2As7Pd12
1.0
-0.945 -2.221 -3.450
4.746 -8.038 3.873
-9.846 1.405 1.794
La As Pd
2 7 12
direct
0.247 0.333 0.667 La
0.753 0.667 0.333 La
0.500 0.000 0.000 As
0.256 0.887 0.294 As
0.256 0.407 0.113 As
0.256 0.706 0.593 As
0.744 0.113 0.706 As
0.744 0.593 0.887 As
0.744 0.294 0.407 As
0.254 0.621 0.057 Pd
0.254 0.436 0.379 Pd
0.254 0.943 0.564 Pd
0.746 0.379 0.943 Pd
0.746 0.564 0.621 Pd
0.746 0.057 0.436 Pd
0.225 0.112 0.252 Pd
0.225 0.140 0.888 Pd
0.225 0.748 0.860 Pd
0.775 0.888 0.748 Pd
0.775 0.860 0.112 Pd
0.775 0.252 0.140 Pd
```

Calculated values
The value obtained for the formation energy is -0.65 eV/atom. The symmetry is P-3 (147). The total magnetic moment comes out at 0.00 μB/f.u.

# 22
The following is a PBE calculation of crystalline La3AsPd at its relaxed geometry, from the Alexandria database.

Structure (POSCAR):
```
La3AsPd
1.0
5.579 0.000 0.000
0.000 5.579 0.000
0.000 0.000 5.579
As Pd La
1 1 3
direct
0.500 0.500 0.500 As
0.000 0.000 0.000 Pd
0.000 0.500 0.000 La
0.000 0.000 0.500 La
0.500 0.000 0.000 La
```

Calculated values
The value obtained for the formation energy is -0.31 eV/atom. The symmetry is Pm-3m (221). For the energy above the most stable polymorph in this dataset, the calculation gives 0.000 eV/atom. The total magnetic moment comes out at 0.00 μB/f.u.